(1)
# CsPuCd

A relaxed CsPuCd crystal (PBE, OQMD).

Properties
- Space-group type: F-43m, No. 216
- Distance to the lowest polymorph of the same formula: 0.000 eV per atom

a = 5.7400 Å, b = 5.7400 Å, c = 5.7400 Å
α = 60.00°, β = 60.00°, γ = 60.00°
Last column: nearest neighbours and their distance in Å.
Positions (direct):
Pu (0.2500, 0.2500, 0.2500)  4 Cs 3.52, 4 Cd 3.52
Cd (0.0000, 0.0000, 0.0000)  4 Pu 3.52
Cs (0.5000, 0.5000, 0.5000)  4 Pu 3.52

***

(2)
# CsPuCd

A relaxed CsPuCd crystal (PBE, OQMD).

Properties
- Space-group type: F-43m, No. 216
- Distance to the lowest polymorph of the same formula: 0.209 eV per atom

a = 5.7228 Å, b = 5.7228 Å, c = 5.7228 Å
α = 60.00°, β = 60.00°, γ = 60.00°
Last column: nearest neighbours and their distance in Å.
Positions (direct):
Cd (0.7500, 0.7500, 0.7500)  4 Cs 3.50
Pu (0.2500, 0.2500, 0.2500)  4 Cs 3.50
Cs (0.0000, 0.0000, 0.0000)  4 Cd 3.50, 4 Pu 3.50

***

(3)
# CsPuCdTe3

A relaxed CsPuCdTe3 crystal (PBE, OQMD).

Properties
- Space-group type: Cmcm, No. 63

a = 8.8511 Å, b = 8.8511 Å, c = 11.9378 Å
α = 90.00°, β = 90.00°, γ = 149.74°
Last column: nearest neighbours and their distance in Å.
Positions (direct):
Te (0.8771, 0.1229, 0.9534)  1 Cd 2.82
Cd (0.0386, 0.9614, 0.2500)  4 Te 2.82-2.91
Cs (0.2476, 0.7524, 0.7500)  8 Te 3.89-4.13, 2 Cd 4.32
Cd (0.9614, 0.0386, 0.7500)  4 Te 2.82-2.91
Pu (0.5000, 0.5000, 0.0000)  6 Te 3.17-3.18
Pu (0.5000, 0.5000, 0.5000)  6 Te 3.17-3.18
Te (0.5648, 0.4352, 0.7500)  2 Cd 2.91, 2 Pu 3.18
Te (0.8771, 0.1229, 0.5466)  1 Cd 2.82
Te (0.1229, 0.8771, 0.0466)  1 Cd 2.82
Te (0.4352, 0.5648, 0.2500)  2 Cd 2.91, 2 Pu 3.18
Cs (0.7524, 0.2476, 0.2500)  8 Te 3.89-4.13, 2 Cd 4.32
Te (0.1229, 0.8771, 0.4534)  1 Cd 2.82

***

Number 1: energy -4.543 eV/atom. Number 2: energy -4.335 eV/atom. Number 3: energy -5.166 eV/atom.